Record 1
Na3Mg2FeO6: relaxed, PBE with a Hubbard U.

a b c (Å): 5.265 9.116 5.675
angles (deg): 90.00 108.19 90.00
Space group C2/m (No. 12)
Inequivalent atoms, fractional coordinates:
Na1 0.000 0.000 0.000 [2 per cell]
Na2 0.000 0.334 0.000 [4 per cell]
Mg1 0.000 0.167 0.500 [4 per cell]
Fe1 0.000 0.500 0.500 [2 per cell]
O1 0.221 0.345 0.700 [8 per cell]
O2 0.242 0.500 0.303 [4 per cell]

=====

Record 2
Na2MgFeO4: relaxed, PBE with a Hubbard U.

a b c (Å): 5.998 5.998 5.506
angles (deg): 90.00 90.00 90.00
Space group I-42m (No. 121)
Inequivalent atoms, fractional coordinates:
Na1 0.000 0.500 0.000 [4 per cell]
Mg1 0.000 0.000 0.000 [2 per cell]
Fe1 0.000 0.000 0.500 [2 per cell]
O1 0.160 0.160 0.270 [8 per cell]

=====

Number 1: total energy -0.195 Ha/atom. Number 2: total energy -0.191 Ha/atom.